This record from Alexandria describes a relaxed Mg2TlFe2 crystal. The functional is GGA-PBE.

a = 7.613 Å, b = 7.613 Å, c = 3.097 Å
α = 90.00°, β = 90.00°, γ = 90.00°
Space group P4/mbm (No. 127)
One atom of each set of equivalent atoms:
Mg (0.133, 0.367, 0.000) (multiplicity 4)
Tl (0.000, 0.000, 0.000) (multiplicity 2)
Fe (0.159, 0.659, 0.500) (multiplicity 4)

Summary:
calculated volume: 179.5 Å³/cell
ΔE_f: 0.513 eV per atom
spin magnetization: 10.06 μB/cell

This record from Alexandria describes a relaxed MgTlFe4 crystal. The functional is GGA-PBE.

a = 7.062 Å, b = 7.062 Å, c = 7.062 Å
α = 90.00°, β = 90.00°, γ = 90.00°
Space group F-43m (No. 216)
One atom of each set of equivalent atoms:
Mg (0.000, 0.000, 0.000) (multiplicity 4)
Tl (0.250, 0.250, 0.750) (multiplicity 4)
Fe (0.126, 0.126, 0.374) (multiplicity 16)

Summary:
calculated volume: 352.3 Å³/cell
ΔE_f: 0.226 eV per atom
spin magnetization: 36.67 μB/cell

This record from Alexandria describes a relaxed MgTlFe2 crystal. The functional is GGA-PBE.

a = 3.1101 Å, b = 3.1101 Å, c = 25.9144 Å
α = 90.00°, β = 90.00°, γ = 120.00°
Space group R3m (No. 160, hexagonal axes)
One atom of each set of equivalent atoms:
Mg (0.0000, 0.0000, 0.0000) (multiplicity 3)
Tl (0.0000, 0.0000, 0.2333) (multiplicity 3)
Fe (0.0000, 0.0000, 0.4776) (multiplicity 3)
Fe (0.0000, 0.0000, 0.7495) (multiplicity 3)

Summary:
calculated volume: 217.1 Å³/cell
ΔE_f: 0.419 eV per atom
spin magnetization: 16.08 μB/cell

This record from Alexandria describes a relaxed MgTlFe3 crystal. The functional is GGA-PBE.

a = 4.545 Å, b = 4.545 Å, c = 4.545 Å
α = 90.00°, β = 90.00°, γ = 90.00°
Space group Pm-3m (No. 221)
One atom of each set of equivalent atoms:
Mg (0.000, 0.000, 0.000) (multiplicity 1)
Tl (0.500, 0.500, 0.500) (multiplicity 1)
Fe (0.000, 0.000, 0.500) (multiplicity 3)

Summary:
calculated volume: 93.9 Å³/cell
ΔE_f: 1.368 eV per atom
spin magnetization: 8.01 μB/cell

This record from Alexandria describes a relaxed MgTlFe2 crystal. The functional is GGA-PBE.

a = 10.047 Å, b = 3.284 Å, c = 4.506 Å
α = 90.00°, β = 116.42°, γ = 90.00°
Space group Cm (No. 8)
One atom of each set of equivalent atoms:
Mg (0.000, 0.000, 0.000) (multiplicity 2)
Tl (0.278, 0.500, 0.278) (multiplicity 2)
Fe (0.041, 0.500, 0.542) (multiplicity 2)
Fe (0.230, 0.000, 0.730) (multiplicity 2)

Summary:
calculated volume: 133.2 Å³/cell
ΔE_f: 0.313 eV per atom
spin magnetization: 9.66 μB/cell

This record from Alexandria describes a relaxed MgTlFe2 crystal. The functional is GGA-PBE.

a = 3.999 Å, b = 3.999 Å, c = 8.103 Å
α = 90.00°, β = 90.00°, γ = 90.00°
Space group I-4m2 (No. 119)
One atom of each set of equivalent atoms:
Mg (0.000, 0.000, 0.000) (multiplicity 2)
Tl (0.000, 0.500, 0.750) (multiplicity 2)
Fe (0.000, 0.000, 0.500) (multiplicity 2)
Fe (0.000, 0.500, 0.250) (multiplicity 2)

Summary:
calculated volume: 129.6 Å³/cell
ΔE_f: 0.384 eV per atom
spin magnetization: 9.89 μB/cell

This record from Alexandria describes a relaxed MgTlFe2 crystal. The functional is GGA-PBE.

a = 2.882 Å, b = 4.111 Å, c = 5.672 Å
α = 90.00°, β = 90.00°, γ = 90.00°
Space group Pmmm (No. 47)
One atom of each set of equivalent atoms:
Mg (0.000, 0.000, 0.000) (multiplicity 1)
Tl (0.000, 0.000, 0.500) (multiplicity 1)
Fe (0.500, 0.500, 0.221) (multiplicity 2)

Summary:
calculated volume: 67.2 Å³/cell
ΔE_f: 0.429 eV per atom
spin magnetization: 5.13 μB/cell

This record from Alexandria describes a relaxed Mg2TlFe2 crystal. The functional is GGA-PBE.

a = 3.307 Å, b = 3.307 Å, c = 18.094 Å
α = 90.00°, β = 90.00°, γ = 90.00°
Space group I4/mmm (No. 139)
One atom of each set of equivalent atoms:
Mg (0.000, 0.000, 0.125) (multiplicity 4)
Tl (0.000, 0.000, 0.500) (multiplicity 2)
Fe (0.000, 0.500, 0.250) (multiplicity 4)

Summary:
calculated volume: 197.9 Å³/cell
ΔE_f: 0.306 eV per atom
spin magnetization: 9.27 μB/cell

This record from Alexandria describes a relaxed MgTlFe2 crystal. The functional is GGA-PBE.

a = 2.9611 Å, b = 2.9611 Å, c = 27.2260 Å
α = 90.00°, β = 90.00°, γ = 120.00°
Space group R-3m (No. 166, hexagonal axes)
One atom of each set of equivalent atoms:
Mg (0.0000, 0.0000, 0.0000) (multiplicity 3)
Tl (0.0000, 0.0000, 0.5000) (multiplicity 3)
Fe (0.0000, 0.0000, 0.2517) (multiplicity 6)

Summary:
calculated volume: 206.7 Å³/cell
ΔE_f: 0.585 eV per atom
spin magnetization: 14.56 μB/cell

This record from Alexandria describes a relaxed MgTlFe2 crystal. The functional is GGA-PBE.

a = 2.929 Å, b = 2.929 Å, c = 7.881 Å
α = 90.00°, β = 90.00°, γ = 90.00°
Space group P4/mmm (No. 123)
One atom of each set of equivalent atoms:
Mg (0.000, 0.000, 0.000) (multiplicity 1)
Tl (0.000, 0.000, 0.500) (multiplicity 1)
Fe (0.500, 0.500, 0.238) (multiplicity 2)

Summary:
calculated volume: 67.6 Å³/cell
ΔE_f: 0.512 eV per atom
spin magnetization: 5.21 μB/cell

This record from Alexandria describes a relaxed MgTlFe2 crystal. The functional is GGA-PBE.

a = 5.611 Å, b = 8.201 Å, c = 2.900 Å
α = 90.00°, β = 91.29°, γ = 90.00°
Space group C2/m (No. 12)
One atom of each set of equivalent atoms:
Mg (0.000, 0.000, 0.000) (multiplicity 2)
Tl (0.000, 0.500, 0.000) (multiplicity 2)
Fe (0.250, 0.250, 0.500) (multiplicity 4)

Summary:
calculated volume: 133.4 Å³/cell
ΔE_f: 0.463 eV per atom
spin magnetization: 10.08 μB/cell

This record from Alexandria describes a relaxed MgTlFe2 crystal. The functional is GGA-PBE.

a = 3.938 Å, b = 3.967 Å, c = 8.331 Å
α = 90.00°, β = 90.00°, γ = 90.00°
Space group Immm (No. 71)
One atom of each set of equivalent atoms:
Mg (0.000, 0.000, 0.000) (multiplicity 2)
Tl (0.000, 0.000, 0.500) (multiplicity 2)
Fe (0.000, 0.500, 0.250) (multiplicity 4)

Summary:
calculated volume: 130.1 Å³/cell
ΔE_f: 0.376 eV per atom
spin magnetization: 10.27 μB/cell

This record from Alexandria describes a relaxed YMg2TlFe crystal. The functional is GGA-PBE.

a = 5.165 Å, b = 5.165 Å, c = 5.047 Å
α = 90.00°, β = 90.00°, γ = 90.00°
Space group P4/mmm (No. 123)
One atom of each set of equivalent atoms:
Y (0.000, 0.000, 0.000) (multiplicity 1)
Mg (0.000, 0.500, 0.500) (multiplicity 2)
Tl (0.500, 0.500, 0.500) (multiplicity 1)
Fe (0.500, 0.500, 0.000) (multiplicity 1)

Summary:
calculated volume: 134.6 Å³/cell
ΔE_f: 0.639 eV per atom
spin magnetization: 2.12 μB/cell

This record from Alexandria describes a relaxed TmMgFe crystal. The functional is GGA-PBE.

a = 3.984 Å, b = 17.035 Å, c = 3.712 Å
α = 90.00°, β = 90.00°, γ = 90.00°
Space group Cmcm (No. 63)
One atom of each set of equivalent atoms:
Tm (0.000, 0.088, 0.250) (multiplicity 4)
Mg (0.000, 0.299, 0.250) (multiplicity 4)
Fe (0.000, 0.466, 0.250) (multiplicity 4)

Summary:
calculated volume: 251.9 Å³/cell
ΔE_f: -0.062 eV per atom
spin magnetization: 2.96 μB/cell